Record 1
DFT (GGA-PBE) results for a geometry-optimized YCd20Ni2 structure.

Results
ΔE_f = -0.10 eV per atom
M_tot = 0.03 μB per cell
VASP energy = -75.45 eV per cell

abc: 10.997 10.997 10.997
angles: 60.00 60.00 60.00
Fractional coordinates of all 46 atoms:
Y1 0.125 0.125 0.125
Y2 0.875 0.875 0.875
Cd1 0.000 0.000 0.000
Cd2 0.000 0.000 0.500
Cd3 0.000 0.500 0.000
Cd4 0.056 0.324 0.324
Cd5 0.056 0.324 0.796
Cd6 0.056 0.796 0.324
Cd7 0.204 0.676 0.676
Cd8 0.204 0.676 0.944
Cd9 0.204 0.944 0.676
Cd10 0.238 0.238 0.512
Cd11 0.238 0.512 0.238
Cd12 0.238 0.512 0.512
Cd13 0.324 0.056 0.324
Cd14 0.324 0.056 0.796
Cd15 0.324 0.324 0.056
Cd16 0.324 0.324 0.796
Cd17 0.324 0.796 0.056
Cd18 0.324 0.796 0.324
Cd19 0.488 0.488 0.762
Cd20 0.488 0.762 0.488
Cd21 0.488 0.762 0.762
Cd22 0.500 0.000 0.000
Cd23 0.512 0.238 0.238
Cd24 0.512 0.238 0.512
Cd25 0.512 0.512 0.238
Cd26 0.676 0.204 0.676
Cd27 0.676 0.204 0.944
Cd28 0.676 0.676 0.204
Cd29 0.676 0.676 0.944
Cd30 0.676 0.944 0.204
Cd31 0.676 0.944 0.676
Cd32 0.762 0.488 0.488
Cd33 0.762 0.488 0.762
Cd34 0.762 0.762 0.488
Cd35 0.796 0.056 0.324
Cd36 0.796 0.324 0.056
Cd37 0.796 0.324 0.324
Cd38 0.944 0.204 0.676
Cd39 0.944 0.676 0.204
Cd40 0.944 0.676 0.676
Ni1 0.000 0.500 0.500
Ni2 0.500 0.000 0.500
Ni3 0.500 0.500 0.000
Ni4 0.500 0.500 0.500


Record 2
DFT (GGA-PBE) results for a geometry-optimized Er2TlF7 structure.

Results
M_tot = 0.00 μB per cell
VASP energy = -61.42 eV per cell

abc: 6.439 6.439 4.244
angles: 90.00 90.00 116.08
Fractional coordinates of all 10 atoms:
Er1 0.194 0.806 0.000
Er2 0.806 0.194 0.000
Tl1 0.500 0.500 0.500
F1 0.000 0.000 0.000
F2 0.171 0.452 0.000
F3 0.204 0.796 0.500
F4 0.452 0.171 0.000
F5 0.548 0.829 0.000
F6 0.796 0.204 0.500
F7 0.829 0.548 0.000


Record 3
DFT (GGA-PBE) results for a geometry-optimized Y2NiAs2Pt structure.

Results
M_tot = 0.00 μB per cell
VASP energy = -159.96 eV per cell

abc: 7.692 4.427 14.699
angles: 90.00 99.76 90.00
Fractional coordinates of all 24 atoms:
Y1 0.000 0.000 0.000
Y2 0.005 0.500 0.492
Y3 0.237 0.000 0.737
Y4 0.245 0.500 0.243
Y5 0.483 0.000 0.485
Y6 0.498 0.500 0.000
Y7 0.744 0.000 0.238
Y8 0.755 0.500 0.739
Ni1 0.061 0.500 0.676
Ni2 0.062 0.000 0.185
Ni3 0.308 0.500 0.426
Ni4 0.557 0.500 0.185
As1 0.121 0.500 0.863
As2 0.125 0.000 0.363
As3 0.362 0.500 0.611
As4 0.372 0.000 0.124
As5 0.611 0.500 0.362
As6 0.622 0.000 0.867
As7 0.875 0.500 0.124
As8 0.879 0.000 0.616
Pt1 0.309 0.000 0.928
Pt2 0.557 0.000 0.676
Pt3 0.807 0.000 0.428
Pt4 0.808 0.500 0.929


Record 4
DFT (GGA-PBE) results for a geometry-optimized LiMgTaPd structure.

Results
relative energy among the computed polymorphs = 0.546 eV/f.u.
M_tot = 0.00 μB per cell
VASP energy = -81.24 eV per cell

abc: 6.355 6.355 6.355
angles: 90.00 90.00 90.00
Fractional coordinates of all 16 atoms:
Li1 0.000 0.000 0.000
Li2 0.000 0.500 0.500
Li3 0.500 0.000 0.500
Li4 0.500 0.500 0.000
Mg1 0.250 0.250 0.750
Mg2 0.250 0.750 0.250
Mg3 0.750 0.250 0.250
Mg4 0.750 0.750 0.750
Ta1 0.000 0.000 0.500
Ta2 0.000 0.500 0.000
Ta3 0.500 0.000 0.000
Ta4 0.500 0.500 0.500
Pd1 0.250 0.250 0.250
Pd2 0.250 0.750 0.750
Pd3 0.750 0.250 0.750
Pd4 0.750 0.750 0.250


Record 5
DFT (GGA-PBE) results for a geometry-optimized SmTm2N3 structure.

Results
M_tot = 0.00 μB per cell
VASP energy = -48.79 eV per cell

abc: 3.451 3.451 8.462
angles: 90.00 90.00 120.00
Fractional coordinates of all 6 atoms:
Sm1 0.000 0.000 0.000
Tm1 0.333 0.667 0.338
Tm2 0.667 0.333 0.662
N1 0.000 0.000 0.500
N2 0.333 0.667 0.823
N3 0.667 0.333 0.177


Record 6
DFT (GGA-PBE) results for a geometry-optimized CdPOsO structure.

Results
relative energy among the computed polymorphs = 0.935 eV/f.u.
M_tot = 0.02 μB per cell
VASP energy = -45.35 eV per cell

abc: 3.887 6.032 5.914
angles: 90.00 90.00 90.00
Fractional coordinates of all 8 atoms:
Cd1 0.000 0.190 0.000
Cd2 0.000 0.810 0.500
P1 0.500 0.395 0.792
P2 0.500 0.605 0.292
Os1 0.500 0.267 0.443
Os2 0.500 0.733 0.943
O1 0.000 0.185 0.396
O2 0.000 0.815 0.896